1.
First-principles (PBE) data for a relaxed structure of ZrB2ClF, as listed in Alexandria.

Unit cell a=4.234 b=4.234 c=4.324 alpha=90.00 beta=90.00 gamma=90.00
Fractional positions:
Zr  0.000  0.000  0.000
B  0.000  0.500  0.500
B  0.500  0.000  0.500
Cl  0.500  0.500  0.000
F  0.000  0.000  0.500

Values from the calculation:
E_form (uncorrected) = 0.901 eV/atom
Crystal system = tetragonal
E_tot = -21.1 eV per cell


2.
First-principles (PBE) data for a relaxed structure of Ac3Cd5Rh6, as listed in Alexandria.

Unit cell a=8.644 b=8.644 c=8.644 alpha=148.30 beta=110.28 gamma=78.62
Fractional positions:
Ac  0.000  0.000  0.000
Ac  0.329  0.329  0.000
Ac  0.671  0.671  0.000
Cd  0.030  0.686  0.344
Cd  0.342  0.686  0.656
Cd  0.500  0.000  0.500
Cd  0.658  0.314  0.344
Cd  0.970  0.314  0.656
Rh  0.158  0.894  0.264
Rh  0.290  0.500  0.790
Rh  0.369  0.106  0.264
Rh  0.631  0.894  0.736
Rh  0.710  0.500  0.210
Rh  0.842  0.106  0.736

Values from the calculation:
Crystal system = orthorhombic
E_tot = -66.5 eV per cell
ΔE_f = -393 meV/atom


3.
First-principles (PBE) data for a relaxed structure of Zr2PaO, as listed in Alexandria.

Unit cell a=9.139 b=9.139 c=9.139 alpha=19.65 beta=19.65 gamma=19.65
Fractional positions:
Zr  0.112  0.112  0.112
Zr  0.888  0.888  0.888
Pa  0.000  0.000  0.000
O  0.500  0.500  0.500

Values from the calculation:
E_form (uncorrected) = -0.898 eV/atom
Crystal system = trigonal
E_tot = -35.1 eV per cell
Excess energy over the best structure of this formula in the dataset = 0.00 eV per formula unit


4.
First-principles (PBE) data for a relaxed structure of PmPr2Y5Sc, as listed in Alexandria.

Unit cell a=10.392 b=10.392 c=10.502 alpha=90.00 beta=90.00 gamma=148.57
Fractional positions:
Pm  0.089  0.911  0.500
Pm  0.911  0.089  0.000
Pr  0.384  0.616  0.779
Pr  0.388  0.612  0.359
Pr  0.612  0.388  0.859
Pr  0.616  0.384  0.279
Y  0.018  0.982  0.784
Y  0.130  0.870  0.064
Y  0.204  0.796  0.745
Y  0.226  0.774  0.374
Y  0.484  0.516  0.062
Y  0.516  0.484  0.562
Y  0.774  0.226  0.874
Y  0.796  0.204  0.245
Y  0.870  0.130  0.564
Y  0.982  0.018  0.284
Sc  0.306  0.694  0.060
Sc  0.694  0.306  0.560

Values from the calculation:
Crystal system = orthorhombic
E_tot = -103.2 eV per cell
ΔE_f = 151 meV/atom


5.
First-principles (PBE) data for a relaxed structure of AcLa2Au, as listed in Alexandria.

Unit cell a=3.985 b=10.686 c=6.624 alpha=90.00 beta=107.42 gamma=90.00
Fractional positions:
Ac  0.071  0.250  0.143
Ac  0.929  0.750  0.857
La  0.364  0.049  0.729
La  0.364  0.451  0.729
La  0.636  0.549  0.271
La  0.636  0.951  0.271
Au  0.223  0.750  0.446
Au  0.777  0.250  0.554

Values from the calculation:
Crystal system = monoclinic
E_tot = -37.9 eV per cell
Excess energy over the best structure of this formula in the dataset = 0.00 eV per formula unit
ΔE_f = -426 meV/atom


6.
First-principles (PBE) data for a relaxed structure of Ce2Pr2ErRh5, as listed in Alexandria.

Unit cell a=10.983 b=10.983 c=3.593 alpha=90.00 beta=90.00 gamma=90.00
Fractional positions:
Ce  0.142  0.358  0.000
Ce  0.358  0.858  0.000
Ce  0.642  0.142  0.000
Ce  0.858  0.642  0.000
Pr  0.168  0.668  0.000
Pr  0.332  0.168  0.000
Pr  0.668  0.832  0.000
Pr  0.832  0.332  0.000
Er  0.000  0.000  0.000
Er  0.500  0.500  0.000
Rh  0.000  0.500  0.500
Rh  0.055  0.195  0.500
Rh  0.195  0.945  0.500
Rh  0.305  0.445  0.500
Rh  0.445  0.695  0.500
Rh  0.500  0.000  0.500
Rh  0.555  0.305  0.500
Rh  0.695  0.555  0.500
Rh  0.805  0.055  0.500
Rh  0.945  0.805  0.500

Values from the calculation:
Crystal system = tetragonal
E_tot = -137.4 eV per cell
ΔE_f = -595 meV/atom


no.,V (Å³/cell)
1,78
2,312
3,75
4,591
5,269
6,433